Model 1:
Here is a geometry-optimized FeRuAu2 structure from the Alexandria database. Energies are from PBE.

POSCAR file:
```
FeRuAu2
1.0
4.9394 0.0173 -0.0193
-1.8085 4.5964 -0.0193
0.0110 0.0162 2.7667
Au Fe Ru
2 1 1
direct
0.0000 0.0000 0.0000
0.5000 0.5000 0.0000
0.5000 0.0000 0.5000
0.0000 0.5000 0.5000
```

---

Model 2:
Here is a geometry-optimized FeRuAu2 structure from the Alexandria database. Energies are from PBE.

POSCAR file:
```
FeRuAu2
1.0
4.1100 0.0000 0.0000
0.0000 2.7411 0.0525
0.0000 2.6562 5.6427
Au Fe Ru
2 1 1
direct
0.0000 0.9972 0.0024
0.0000 0.5028 0.4976
0.5000 0.2500 0.2500
0.5000 0.7500 0.7500
```

---

Model 3:
Here is a geometry-optimized FeRuAu2 structure from the Alexandria database. Energies are from PBE.

POSCAR file:
```
FeRuAu2
1.0
4.8775 0.0066 -0.0027
4.0791 2.6742 -0.0027
0.9925 0.2971 4.8221
Au Fe Ru
2 1 1
direct
0.9944 0.9944 0.0092
0.7592 0.7592 0.7398
0.5096 0.5096 0.4868
0.2369 0.2369 0.2643
```

---

Model 4:
Here is a geometry-optimized FeRuAu2 structure from the Alexandria database. Energies are from PBE.

POSCAR file:
```
FeRuAu2
1.0
2.8005 0.0000 0.0000
0.0000 2.8005 0.0000
0.0000 0.0000 8.0229
Au Fe Ru
2 1 1
direct
0.0000 0.0000 0.0095
0.0000 0.0000 0.4905
0.5000 0.5000 0.2500
0.5000 0.5000 0.7500
```

---

Each structure's energy above the most stable one, in kJ/mol of atoms: model 1 1.6; model 2 4.1; model 3 0.0; model 4 3.4.

---

Model 1:
Here is a geometry-optimized FeRuAu2 structure from the Alexandria database. Energies are from PBE.

POSCAR file:
```
FeRuAu2
1.0
-2.2617 -2.9862 1.1060
0.0025 -1.3589 -3.6641
3.3785 -2.2490 0.8364
Au Fe Ru
2 1 1
direct
0.0000 0.0000 0.0000
0.5000 0.5000 0.0000
0.5000 0.0000 0.5000
0.0000 0.5000 0.5000
```

---

Model 2:
Here is a geometry-optimized FeRuAu2 structure from the Alexandria database. Energies are from PBE.

POSCAR file:
```
FeRuAu2
1.0
-6.7063 -2.7451 0.0096
1.0951 -2.6986 -6.6354
-1.8837 -4.9703 -2.2463
Ru Au Fe
2 4 2
direct
0.0000 0.0000 0.0000
0.7500 0.2500 0.5000
0.6102 0.1250 0.2500
0.1398 0.6250 0.2500
0.3750 0.3898 0.7500
0.8750 0.8602 0.7500
0.5000 0.5000 0.0000
0.2500 0.7500 0.5000
```

---

Model 3:
Here is a geometry-optimized FeRuAu2 structure from the Alexandria database. Energies are from PBE.

POSCAR file:
```
FeRuAu2
1.0
4.8114 0.0113 0.0000
1.4381 4.5914 0.0000
-3.1247 -2.3014 2.8441
Au Fe Ru
2 1 1
direct
0.0000 0.0000 0.0000
0.2500 0.7500 0.5000
0.5000 0.5000 0.0000
0.7500 0.2500 0.5000
```

---

Each structure's energy above the most stable one, in kJ/mol of atoms: model 1 1.8; model 2 37.5; model 3 0.0.

---

Model 1:
Here is a geometry-optimized FeRuAu2 structure from the Alexandria database. Energies are from PBE.

POSCAR file:
```
FeRuAu2
1.0
2.7667 -0.1131 0.0000
-1.0331 2.5691 0.0000
0.0000 0.0000 9.1669
Au Fe Ru
2 1 1
direct
0.0000 0.0000 0.9906
0.5000 0.5000 0.2698
0.0000 0.0000 0.5143
0.5000 0.5000 0.7254
```

---

Model 2:
Here is a geometry-optimized FeRuAu2 structure from the Alexandria database. Energies are from PBE.

POSCAR file:
```
FeRuAu2
1.0
5.3087 0.0674 0.1036
2.3653 4.7531 -0.1036
-3.2911 -3.2793 2.5714
Au Fe Ru
2 1 1
direct
0.0060 0.0060 0.0000
0.7314 0.2314 0.5000
0.4856 0.4856 0.0000
0.2770 0.7770 0.5000
```

---

Each structure's energy above the most stable one, in kJ/mol of atoms: model 1 0.0; model 2 4.2.